The following is a DFT calculation (PBE) of crystalline LiMnCuSb at its relaxed geometry.

Properties
* total moment: 3.61 μB per formula unit

Lattice parameters (Å, degrees): 6.308 6.308 6.308 90.00 90.00 90.00
Space group F-43m (No. 216)
Symmetry-distinct sites (fractional):
Li 0.000 0.000 0.000 (multiplicity 4)
Mn 0.000 0.000 0.500 (multiplicity 4)
Cu 0.250 0.250 0.250 (multiplicity 4)
Sb 0.250 0.250 0.750 (multiplicity 4)

=====

The following is a DFT calculation (PBE) of crystalline La2Nd4Dy at its relaxed geometry.

Properties
* formation energy: 0.21 eV per atom
* total moment: 0.00 μB per formula unit
* polymorph energy (0 for the lowest one): 0.155 eV/atom

Lattice parameters (Å, degrees): 6.929 11.719 12.428 90.00 90.00 90.00
Space group Imma (No. 74)
Symmetry-distinct sites (fractional):
La 0.000 0.000 0.000 (multiplicity 4)
La 0.000 0.250 0.222 (multiplicity 4)
Nd 0.000 0.008 0.643 (multiplicity 8)
Nd 0.223 0.250 0.491 (multiplicity 8)
Dy 0.250 0.250 0.750 (multiplicity 4)

=====

The following is a DFT calculation (PBE) of crystalline Mg3ZnF at its relaxed geometry.

Properties
* total moment: 0.00 μB per formula unit
* polymorph energy (0 for the lowest one): 0.457 eV/atom

Lattice parameters (Å, degrees): 5.001 5.001 5.001 90.00 90.00 90.00
Space group Pm-3m (No. 221)
Symmetry-distinct sites (fractional):
Mg 0.000 0.000 0.500 (multiplicity 3)
Zn 0.000 0.000 0.000 (multiplicity 1)
F 0.500 0.500 0.500 (multiplicity 1)

=====

The following is a DFT calculation (PBE) of crystalline TmHfSc2As4 at its relaxed geometry.

Properties
* formation energy: -1.32 eV per atom
* total moment: 0.00 μB per formula unit

Lattice parameters (Å, degrees): 6.748 3.908 6.772 90.00 109.34 90.00
Space group P2/m (No. 10)
Symmetry-distinct sites (fractional):
Tm 0.000 0.000 0.000 (multiplicity 1)
Hf 0.000 0.500 0.500 (multiplicity 1)
Sc 0.500 0.000 0.500 (multiplicity 1)
Sc 0.500 0.500 0.000 (multiplicity 1)
As 0.252 0.000 0.744 (multiplicity 2)
As 0.257 0.500 0.259 (multiplicity 2)

=====

The following is a DFT calculation (PBE) of crystalline Li6Mg3Zn at its relaxed geometry.

Properties
* formation energy: -0.06 eV per atom
* total moment: 0.00 μB per formula unit
* polymorph energy (0 for the lowest one): 0.000 eV/atom

Lattice parameters (Å, degrees): 8.112 4.783 10.195 90.00 107.88 90.00
Space group P2_1/m (No. 11)
Symmetry-distinct sites (fractional):
Li 0.039 0.250 0.392 (multiplicity 2)
Li 0.128 0.750 0.176 (multiplicity 2)
Li 0.145 0.250 0.699 (multiplicity 2)
Li 0.221 0.250 0.992 (multiplicity 2)
Li 0.337 0.750 0.796 (multiplicity 2)
Li 0.444 0.250 0.605 (multiplicity 2)
Mg 0.254 0.750 0.490 (multiplicity 2)
Mg 0.339 0.250 0.294 (multiplicity 2)
Mg 0.440 0.750 0.091 (multiplicity 2)
Zn 0.051 0.750 0.892 (multiplicity 2)

=====

The following is a DFT calculation (PBE) of crystalline NaTl3Hg at its relaxed geometry.

Properties
* formation energy: -0.09 eV per atom
* total moment: 0.00 μB per formula unit
* polymorph energy (0 for the lowest one): 0.000 eV/atom

Lattice parameters (Å, degrees): 8.358 6.733 10.679 90.00 105.87 90.00
Space group P2_1/c (No. 14)
Symmetry-distinct sites (fractional):
Na 0.226 0.005 0.311 (multiplicity 4)
Tl 0.008 0.249 0.502 (multiplicity 4)
Tl 0.204 0.504 0.298 (multiplicity 4)
Tl 0.400 0.734 0.599 (multiplicity 4)
Hg 0.397 0.243 0.605 (multiplicity 4)

=====

The following is a DFT calculation (PBE) of crystalline ZrNbPd at its relaxed geometry.

Properties
* formation energy: -0.27 eV per atom
* total moment: 0.00 μB per formula unit
* polymorph energy (0 for the lowest one): 0.142 eV/atom

Lattice parameters (Å, degrees): 5.292 9.141 9.403 90.00 90.00 90.00
Space group Fmmm (No. 69)
Symmetry-distinct sites (fractional):
Zr 0.000 0.000 0.154 (multiplicity 8)
Nb 0.000 0.151 0.500 (multiplicity 8)
Pd 0.250 0.250 0.250 (multiplicity 8)

=====

The following is a DFT calculation (PBE) of crystalline Al2ZnHg at its relaxed geometry.

Properties
* formation energy: 0.14 eV per atom
* total moment: 0.00 μB per formula unit
* polymorph energy (0 for the lowest one): 0.044 eV/atom

Lattice parameters (Å, degrees): 2.992 4.021 6.075 90.00 91.68 90.00
Space group Pm (No. 6)
Symmetry-distinct sites (fractional):
Al 0.000 0.000 0.000 (multiplicity 1)
Al 0.491 0.500 0.767 (multiplicity 1)
Zn 0.985 0.000 0.549 (multiplicity 1)
Hg 0.490 0.500 0.276 (multiplicity 1)

=====

The following is a DFT calculation (PBE) of crystalline HfPaSe4 at its relaxed geometry.

Properties
* total moment: 0.75 μB per formula unit
* polymorph energy (0 for the lowest one): 0.137 eV/atom

Lattice parameters (Å, degrees): 16.471 5.523 8.659 90.00 106.09 90.00
Space group C2/m (No. 12)
Symmetry-distinct sites (fractional):
Hf 0.104 0.000 0.173 (multiplicity 4)
Pa 0.219 0.000 0.800 (multiplicity 4)
Se 0.057 0.000 0.846 (multiplicity 4)
Se 0.109 0.500 0.176 (multiplicity 4)
Se 0.150 0.000 0.482 (multiplicity 4)
Se 0.230 0.500 0.843 (multiplicity 4)

=====

The following is a DFT calculation (PBE) of crystalline MnAlSnSb2 at its relaxed geometry.

Properties
* total moment: 2.07 μB per formula unit

Lattice parameters (Å, degrees): 5.093 5.093 4.698 90.00 90.00 90.00
Space group P4/mmm (No. 123)
Symmetry-distinct sites (fractional):
Mn 0.000 0.000 0.000 (multiplicity 1)
Al 0.000 0.000 0.500 (multiplicity 1)
Sn 0.500 0.500 0.500 (multiplicity 1)
Sb 0.000 0.500 0.000 (multiplicity 2)

=====

The following is a DFT calculation (PBE) of crystalline SiOsSe2 at its relaxed geometry.

Properties
* total moment: 0.00 μB per formula unit

Lattice parameters (Å, degrees): 5.830 5.830 10.845 90.00 90.00 90.00
Space group I-42d (No. 122)
Symmetry-distinct sites (fractional):
Si 0.000 0.000 0.000 (multiplicity 4)
Os 0.000 0.000 0.500 (multiplicity 4)
Se 0.227 0.250 0.625 (multiplicity 8)

=====

The following is a DFT calculation (PBE) of crystalline Cs2BiI6F at its relaxed geometry.

Properties
* total moment: 0.00 μB per formula unit

Lattice parameters (Å, degrees): 9.251 9.251 10.591 90.00 90.00 90.00
Space group I4/mmm (No. 139)
Symmetry-distinct sites (fractional):
Cs 0.000 0.500 0.250 (multiplicity 4)
Bi 0.000 0.000 0.000 (multiplicity 2)
I 0.000 0.000 0.282 (multiplicity 4)
I 0.234 0.234 0.000 (multiplicity 8)
F 0.000 0.000 0.500 (multiplicity 2)

=====

Number 1: calculated volume 251.0 Å³/cell, DFT total energy -4.8922 eV per atom. Number 2: calculated volume 1009.2 Å³/cell, DFT total energy -4.5846 eV per atom. Number 3: calculated volume 125.1 Å³/cell, DFT total energy -1.8613 eV per atom. Number 4: calculated volume 168.5 Å³/cell, DFT total energy -7.0325 eV per atom. Number 5: calculated volume 376.4 Å³/cell, DFT total energy -1.8172 eV per atom. Number 6: calculated volume 578.0 Å³/cell, DFT total energy -1.8294 eV per atom. Number 7: calculated volume 454.9 Å³/cell, DFT total energy -8.2098 eV per atom. Number 8: calculated volume 73.0 Å³/cell, DFT total energy -2.1232 eV per atom. Number 9: calculated volume 756.8 Å³/cell, DFT total energy -6.7485 eV per atom. Number 10: calculated volume 121.9 Å³/cell, DFT total energy -4.7329 eV per atom. Number 11: calculated volume 368.7 Å³/cell, DFT total energy -5.3666 eV per atom. Number 12: calculated volume 906.4 Å³/cell, DFT total energy -2.5622 eV per atom.